1.
A plane-wave DFT calculation with PBE was carried out for crystalline PdRhSe2 at its relaxed geometry.

Properties
Volume: 178.7 Å³/cell
E_form (uncorrected): -0.128 eV/atom
Space group: No. 122
Total moment: 0.000 Bohr magnetons per cell
N(E_F): 6.65 states/eV per cell

Geometry as POSCAR:
```
PdRhSe2
1.0
-2.741 2.741 5.946
2.741 -2.741 5.946
2.741 2.741 -5.946
Pd Rh Se
2 2 4
direct
0.000 0.000 0.000
0.750 0.250 0.500
0.250 0.750 0.500
0.500 0.500 0.000
0.140 0.625 0.015
0.375 0.390 0.515
0.610 0.125 0.985
0.875 0.860 0.485
```

***

2.
A plane-wave DFT calculation with PBE was carried out for crystalline PdRh3Se at its relaxed geometry.

Properties
Volume: 108.3 Å³/cell
E_form (uncorrected): 1.542 eV/atom
Space group: No. 221
Total moment: 3.892 Bohr magnetons per cell
N(E_F): 7.19 states/eV per cell

Geometry as POSCAR:
```
PdRh3Se
1.0
4.766 0.000 0.000
0.000 4.766 0.000
0.000 0.000 4.766
Pd Rh Se
1 3 1
direct
0.000 0.000 0.000
0.000 0.000 0.500
0.000 0.500 0.000
0.500 0.000 0.000
0.500 0.500 0.500
```

***

3.
A plane-wave DFT calculation with PBE was carried out for crystalline PdRh5Se8 at its relaxed geometry.

Properties
Volume: 284.1 Å³/cell
E_form (uncorrected): -0.386 eV/atom
Space group: No. 216
Total moment: 0.000 Bohr magnetons per cell
N(E_F): 9.35 states/eV per cell

Geometry as POSCAR:
```
PdRh5Se8
1.0
0.000 5.218 5.218
5.218 0.000 5.218
5.218 5.218 0.000
Pd Rh Se
1 5 8
direct
0.000 0.000 0.000
0.374 0.374 0.374
0.374 0.374 0.877
0.374 0.877 0.374
0.750 0.750 0.750
0.877 0.374 0.374
0.136 0.136 0.136
0.136 0.136 0.591
0.136 0.591 0.136
0.152 0.616 0.616
0.591 0.136 0.136
0.616 0.152 0.616
0.616 0.616 0.152
0.616 0.616 0.616
```

***

4.
A plane-wave DFT calculation with PBE was carried out for crystalline Pd2Rh2Se at its relaxed geometry.

Properties
Volume: 163.7 Å³/cell
E_form (uncorrected): 0.160 eV/atom
Space group: No. 127
Total moment: 0.000 Bohr magnetons per cell
N(E_F): 13.28 states/eV per cell

Geometry as POSCAR:
```
Pd2Rh2Se
1.0
6.327 0.000 0.000
0.000 6.327 0.000
0.000 0.000 4.090
Pd Rh Se
4 4 2
direct
0.156 0.344 0.000
0.344 0.844 0.000
0.656 0.156 0.000
0.844 0.656 0.000
0.148 0.648 0.500
0.352 0.148 0.500
0.648 0.852 0.500
0.852 0.352 0.500
0.000 0.000 0.500
0.500 0.500 0.500
```

***

Which value of E_form (uncorrected) does entry 3 give? -0.386 eV/atom